Record 1
{
  "formula": "CaTa2Ni",
  "functional": "PBE-GGA",
  "state": "relaxed",
  "magnetic_moment_mub_per_cell": 0.0,
  "sg": "P4/mmm, No. 123",
  "delta_e_f_ev_per_atom": 0.389,
  "density_g_cm3": 10.07,
  "lattice_angstrom": [[2.896, 0.000, 0.000], [0.000, 2.896, 0.000], [0.000, 0.000, 9.054]],
  "species": ["Ni", "Ca", "Ta", "Ta"],
  "fractional_positions": [[0.500, 0.500, 0.750], [0.500, 0.500, 0.250], [0.000, 0.000, 0.940], [0.000, 0.000, 0.560]]
}

Record 2
{
  "formula": "CePmTe2",
  "functional": "PBE-GGA",
  "state": "relaxed",
  "magnetic_moment_mub_per_cell": 2.8,
  "sg": "P6_3/mmc, No. 194",
  "raw_formation_energy_ev_per_fu": -5.5,
  "density_g_cm3": 7.04,
  "lattice_angstrom": [[4.359, 0.000, 0.000], [-2.180, 3.775, 0.000], [0.000, 0.000, 15.482]],
  "species": ["Ce", "Ce", "Pm", "Pm", "Te", "Te", "Te", "Te"],
  "fractional_positions": [[0.667, 0.333, 0.250], [0.333, 0.667, 0.750], [0.000, 0.000, 0.500], [0.000, 0.000, 0.000], [0.333, 0.667, 0.378], [0.667, 0.333, 0.878], [0.667, 0.333, 0.622], [0.333, 0.667, 0.122]]
}

Record 3
{
  "formula": "LaMnSb2I",
  "functional": "PBE-GGA",
  "state": "relaxed",
  "magnetic_moment_mub_per_cell": 3.6,
  "sg": "P4/mmm, No. 123",
  "raw_formation_energy_ev_per_fu": -1.2,
  "density_g_cm3": 6.33,
  "lattice_angstrom": [[5.173, 0.000, 0.000], [0.000, 5.173, 0.000], [0.000, 0.000, 5.528]],
  "species": ["I", "Sb", "Sb", "Mn", "La"],
  "fractional_positions": [[0.000, 0.000, 0.500], [0.000, 0.500, 0.000], [0.500, 0.000, 0.000], [0.000, 0.000, 0.000], [0.500, 0.500, 0.500]]
}

Record 4
{
  "formula": "Sm6Zn2Ag",
  "functional": "PBE-GGA",
  "state": "relaxed",
  "magnetic_moment_mub_per_cell": 0.0,
  "sg": "Immm, No. 71",
  "delta_e_f_ev_per_atom": -0.152,
  "density_g_cm3": 7.47,
  "lattice_angstrom": [[-5.089, 2.248, -6.695], [1.500, -8.558, -0.546], [-3.790, 1.708, 7.649]],
  "species": ["Sm", "Sm", "Sm", "Sm", "Sm", "Sm", "Sm", "Sm", "Sm", "Sm", "Sm", "Sm", "Zn", "Zn", "Zn", "Zn", "Ag", "Ag"],
  "fractional_positions": [[0.558, 0.735, 0.823], [0.442, 0.265, 0.177], [0.087, 0.265, 0.823], [0.913, 0.735, 0.177], [0.803, 0.747, 0.550], [0.197, 0.253, 0.450], [0.197, 0.747, 0.944], [0.803, 0.253, 0.056], [0.715, 0.393, 0.678], [0.285, 0.607, 0.322], [0.285, 0.962, 0.678], [0.715, 0.038, 0.322], [0.500, 0.375, 0.875], [0.500, 0.625, 0.125], [0.637, 0.000, 0.637], [0.363, 0.000, 0.363], [0.000, 0.500, 0.500], [0.000, 0.000, 0.000]]
}

Record 5
{
  "formula": "Ce2PuGe4Rh3",
  "functional": "PBE-GGA",
  "state": "relaxed",
  "magnetic_moment_mub_per_cell": 5.5,
  "sg": "P-4m2, No. 115",
  "delta_e_f_ev_per_atom": -0.683,
  "density_g_cm3": 9.27,
  "lattice_angstrom": [[-4.229, -0.147, 0.232], [0.256, -3.416, 2.495], [0.266, 6.624, 9.042]],
  "species": ["Ce", "Ce", "Pu", "Ge", "Ge", "Ge", "Ge", "Rh", "Rh", "Rh"],
  "fractional_positions": [[0.500, 0.000, 0.231], [0.000, 0.500, 0.769], [0.500, 0.500, 0.500], [0.500, 0.500, 0.000], [0.000, 0.000, 0.000], [0.500, 0.000, 0.671], [0.000, 0.500, 0.329], [0.000, 0.000, 0.500], [0.500, 0.000, 0.886], [0.000, 0.500, 0.114]]
}

Record 6
{
  "formula": "Re3Te",
  "functional": "PBE-GGA",
  "state": "relaxed",
  "magnetic_moment_mub_per_cell": 0.0,
  "sg": "I4/mmm, No. 139",
  "raw_formation_energy_ev_per_fu": 3.6,
  "density_g_cm3": 16.97,
  "lattice_angstrom": [[-2.142, 2.142, 7.319], [2.142, -2.142, 7.319], [2.142, 2.142, -7.319]],
  "species": ["Re", "Re", "Re", "Re", "Re", "Re", "Te", "Te"],
  "fractional_positions": [[0.000, 0.500, 0.500], [0.500, 0.000, 0.500], [0.750, 0.250, 0.500], [0.250, 0.750, 0.500], [0.861, 0.861, 0.000], [0.139, 0.139, 0.000], [0.615, 0.615, 0.000], [0.385, 0.385, 0.000]]
}

Record 7
{
  "formula": "TlSnAu",
  "functional": "PBE-GGA",
  "state": "relaxed",
  "magnetic_moment_mub_per_cell": 0.0,
  "sg": "P-1, No. 2",
  "delta_e_f_ev_per_atom": -0.092,
  "density_g_cm3": 10.17,
  "lattice_angstrom": [[8.459, 1.278, 1.145], [2.236, 4.251, 0.100], [-0.176, 0.091, 5.099]],
  "species": ["Tl", "Tl", "Au", "Au", "Sn", "Sn"],
  "fractional_positions": [[0.300, 0.431, 0.057], [0.022, 0.202, 0.479], [0.636, 0.089, 0.428], [0.686, 0.544, 0.107], [0.836, 0.891, 0.887], [0.487, 0.742, 0.648]]
}

Record 8
{
  "formula": "K2InSb",
  "functional": "PBE-GGA",
  "state": "relaxed",
  "magnetic_moment_mub_per_cell": 0.0,
  "sg": "Pmm2, No. 25",
  "raw_formation_energy_ev_per_fu": -0.7,
  "density_g_cm3": 3.08,
  "lattice_angstrom": [[4.262, 0.000, 0.000], [0.000, 3.884, 0.000], [0.000, 0.000, 10.249]],
  "species": ["In", "K", "K", "Sb"],
  "fractional_positions": [[0.500, 0.500, 0.691], [0.000, 0.000, 0.917], [0.500, 0.500, 0.334], [0.000, 0.000, 0.558]]
}

Record 9
{
  "formula": "BaRe2Ag",
  "functional": "PBE-GGA",
  "state": "relaxed",
  "magnetic_moment_mub_per_cell": 0.0,
  "sg": "Pmmm, No. 47",
  "delta_e_f_ev_per_atom": 1.274,
  "density_g_cm3": 12.48,
  "lattice_angstrom": [[2.925, 0.000, 0.000], [0.000, 5.010, 0.000], [0.000, 0.000, 5.608]],
  "species": ["Re", "Re", "Ba", "Ag"],
  "fractional_positions": [[0.000, 0.000, 0.000], [0.500, 0.500, 0.000], [0.000, 0.500, 0.500], [0.500, 0.000, 0.500]]
}

Record 10
{
  "formula": "Y2MgCuH",
  "functional": "PBE-GGA",
  "state": "relaxed",
  "magnetic_moment_mub_per_cell": 0.0,
  "total_energy_ev_per_atom": -4.58,
  "sg": "P4/mmm, No. 123",
  "density_g_cm3": 4.63,
  "lattice_angstrom": [[-2.346, 3.944, 1.987], [-4.361, -1.714, -1.747], [-0.533, -1.953, 3.247]],
  "species": ["Y", "Y", "H", "Mg", "Cu"],
  "fractional_positions": [[0.000, 0.500, 0.000], [0.500, 0.000, 0.000], [0.000, 0.000, 0.000], [0.500, 0.500, 0.500], [0.000, 0.000, 0.500]]
}

Record 11
{
  "formula": "SiAu5",
  "functional": "PBE-GGA",
  "state": "relaxed",
  "magnetic_moment_mub_per_cell": 0.0,
  "sg": "Cm, No. 8",
  "raw_formation_energy_ev_per_fu": 0.4,
  "density_g_cm3": 15.56,
  "lattice_angstrom": [[-1.740, -3.131, -3.462], [-1.007, -4.794, -0.908], [-6.992, 0.284, 2.192]],
  "species": ["Au", "Au", "Au", "Au", "Au", "Si"],
  "fractional_positions": [[0.969, 0.969, 0.941], [0.299, 0.299, 0.380], [0.712, 0.712, 0.733], [0.588, 0.588, 0.220], [0.006, 0.006, 0.549], [0.258, 0.258, 0.010]]
}

Record 12
{
  "formula": "HfCuSbOs2",
  "functional": "PBE-GGA",
  "state": "relaxed",
  "magnetic_moment_mub_per_cell": 1.3,
  "sg": "P4/mmm, No. 123",
  "raw_formation_energy_ev_per_fu": 10.1,
  "density_g_cm3": 9.85,
  "lattice_angstrom": [[4.842, 0.000, 0.000], [0.000, 5.354, 0.000], [0.000, 0.000, 4.842]],
  "species": ["Hf", "Os", "Os", "Cu", "Sb"],
  "fractional_positions": [[0.000, 0.000, 0.000], [0.000, 0.000, 0.500], [0.500, 0.000, 0.000], [0.500, 0.500, 0.500], [0.000, 0.500, 0.000]]
}

Record 13
{
  "formula": "IrC2",
  "functional": "PBE-GGA",
  "state": "relaxed",
  "magnetic_moment_mub_per_cell": 0.0,
  "sg": "P-6m2, No. 187",
  "delta_e_f_ev_per_atom": 0.905,
  "density_g_cm3": 11.92,
  "lattice_angstrom": [[3.006, 0.000, 0.000], [-1.503, 2.603, 0.000], [0.000, 0.000, 3.849]],
  "species": ["C", "C", "Ir"],
  "fractional_positions": [[0.000, 0.000, 0.690], [0.000, 0.000, 0.310], [0.333, 0.667, 0.000]]
}

Record 14
{
  "formula": "Al3BiP",
  "functional": "PBE-GGA",
  "state": "relaxed",
  "magnetic_moment_mub_per_cell": 0.0,
  "sg": "Pm-3m, No. 221",
  "delta_e_f_ev_per_atom": 1.278,
  "density_g_cm3": 3.37,
  "lattice_angstrom": [[-1.401, -5.209, 0.381], [4.010, -1.325, -3.377], [3.347, -0.593, 4.206]],
  "species": ["P", "Bi", "Al", "Al", "Al"],
  "fractional_positions": [[0.500, 0.500, 0.500], [0.000, 0.000, 0.000], [0.000, 0.500, 0.000], [0.000, 0.000, 0.500], [0.500, 0.000, 0.000]]
}

Record 15
{
  "formula": "ZnSiP2",
  "functional": "PBE-GGA",
  "state": "relaxed",
  "magnetic_moment_mub_per_cell": 0.0,
  "sg": "R3m, No. 160",
  "raw_formation_energy_ev_per_fu": 2.2,
  "density_g_cm3": 4.35,
  "lattice_angstrom": [[-6.362, -1.965, 6.231], [-4.716, -4.148, 6.612], [-4.179, -1.771, 7.910]],
  "species": ["P", "P", "Si", "Zn"],
  "fractional_positions": [[0.000, 0.000, 0.000], [0.248, 0.248, 0.248], [0.502, 0.502, 0.502], [0.751, 0.751, 0.751]]
}

Record 16
{
  "formula": "AlCdSi2Br",
  "functional": "PBE-GGA",
  "state": "relaxed",
  "magnetic_moment_mub_per_cell": 0.0,
  "sg": "P4/mmm, No. 123",
  "raw_formation_energy_ev_per_fu": 6.1,
  "density_g_cm3": 3.28,
  "lattice_angstrom": [[-4.666, -1.231, 1.437], [1.688, -0.296, 5.229], [-1.092, 4.875, 0.628]],
  "species": ["Si", "Si", "Al", "Br", "Cd"],
  "fractional_positions": [[0.000, 0.000, 0.500], [0.500, 0.000, 0.000], [0.500, 0.500, 0.500], [0.000, 0.000, 0.000], [0.000, 0.500, 0.000]]
}

Record 17
{
  "formula": "GaB2As",
  "functional": "PBE-GGA",
  "state": "relaxed",
  "magnetic_moment_mub_per_cell": 0.0,
  "sg": "P1, No. 1",
  "delta_e_f_ev_per_atom": 0.214,
  "density_g_cm3": 4.96,
  "lattice_angstrom": [[-0.255, -2.825, -0.547], [5.576, -1.571, -2.071], [1.697, -2.736, 5.759]],
  "species": ["As", "As", "B", "B", "B", "B", "Ga", "Ga"],
  "fractional_positions": [[0.252, 0.074, 0.350], [0.640, 0.550, 0.099], [0.021, 0.365, 0.520], [0.292, 0.801, 0.544], [0.868, 0.640, 0.553], [0.482, 0.533, 0.432], [0.605, 0.864, 0.846], [0.924, 0.244, 0.835]]
}

Record 18
{
  "formula": "RbAg3Sb",
  "functional": "PBE-GGA",
  "state": "relaxed",
  "magnetic_moment_mub_per_cell": 0.0,
  "sg": "Imma, No. 74",
  "raw_formation_energy_ev_per_fu": -0.3,
  "density_g_cm3": 5.94,
  "lattice_angstrom": [[0.081, -2.896, -5.252], [6.573, -5.675, 3.231], [-7.089, 0.944, 2.795]],
  "species": ["Rb", "Rb", "Ag", "Ag", "Ag", "Ag", "Ag", "Ag", "Sb", "Sb"],
  "fractional_positions": [[0.250, 0.325, 0.500], [0.750, 0.675, 0.500], [0.706, 0.206, 0.911], [0.206, 0.206, 0.911], [0.794, 0.794, 0.089], [0.294, 0.794, 0.089], [0.250, 0.886, 0.500], [0.750, 0.114, 0.500], [0.000, 0.500, 0.000], [0.500, 0.000, 0.000]]
}